# 1
{
  "formula": "TaAgMo2",
  "functional": "PBEsol",
  "state": "relaxed",
  "cell": [[2.709, 0.003, 0.000], [-0.799, 2.588, 0.000], [0.000, 0.000, 9.195]],
  "species": ["Ta", "Mo", "Ag", "Mo"],
  "fractional_positions": [[0.500, 0.500, 0.500], [0.000, 0.000, 0.253], [0.500, 0.500, 0.000], [0.000, 0.000, 0.747]],
  "polymorph_energy_kj_per_mol_atoms": 0.0,
  "magnetic_moment_mub_per_fu": 0.000,
  "delta_e_f_ev_per_atom": 0.20,
  "energy_ev_per_atom": -9.650
}


# 2
{
  "formula": "IrWCl2",
  "functional": "PBEsol",
  "state": "relaxed",
  "cell": [[2.862, 0.000, 0.000], [1.431, 2.479, 0.000], [1.431, 0.826, 9.493]],
  "species": ["W", "Ir", "Cl", "Cl"],
  "fractional_positions": [[0.000, 0.000, 0.000], [0.500, 0.500, 0.500], [0.270, 0.270, 0.191], [0.730, 0.730, 0.809]],
  "polymorph_energy_kj_per_mol_atoms": 52.2,
  "magnetic_moment_mub_per_fu": 0.773,
  "raw_formation_energy_ev_per_fu": 2.2,
  "energy_ev_per_atom": -6.358
}


no.,theoretical density (Mg/m³)
1,12.38
2,11.02